1.
Crystalline MgPb2W at its relaxed geometry. Source: Alexandria, functional GGA-PBE.

Cell: 4.601 4.601 8.368 Å, 90.00 90.00 90.00°
Space group I4/mmm (No. 139)
Symmetry-distinct sites (fractional):
Mg 0.000 0.000 0.000 [2 per cell]
Pb 0.000 0.500 0.250 [4 per cell]
W 0.000 0.000 0.500 [2 per cell]

Calculated values
ΔH_f (0 K)	0.795	eV per atom

2.
Crystalline Ac3CoRh at its relaxed geometry. Source: Alexandria, functional GGA-PBE.

Cell: 7.945 4.185 9.915 Å, 90.00 103.59 90.00°
Space group P2_1/m (No. 11)
Symmetry-distinct sites (fractional):
Ac 0.021 0.250 0.341 [2 per cell]
Ac 0.203 0.250 0.010 [2 per cell]
Ac 0.463 0.250 0.684 [2 per cell]
Co 0.452 0.750 0.962 [2 per cell]
Rh 0.248 0.750 0.495 [2 per cell]

Calculated values
ΔH_f (0 K)	-0.226	eV per atom

3.
Crystalline ZrAgBr3 at its relaxed geometry. Source: Alexandria, functional GGA-PBE.

Cell: 5.347 5.347 5.347 Å, 90.00 90.00 90.00°
Space group Pm-3m (No. 221)
Symmetry-distinct sites (fractional):
Zr 0.000 0.000 0.000 [1 per cell]
Ag 0.500 0.500 0.500 [1 per cell]
Br 0.000 0.000 0.500 [3 per cell]

Calculated values
formation energy from raw total energies	-0.469	eV/atom

4.
Crystalline Pu2GaAu2 at its relaxed geometry. Source: Alexandria, functional GGA-PBE.

Cell: 10.114 5.700 8.180 Å, 90.00 100.15 90.00°
Space group P2_1/c (No. 14)
Symmetry-distinct sites (fractional):
Pu 0.108 0.185 0.070 [4 per cell]
Pu 0.339 0.628 0.003 [4 per cell]
Ga 0.326 0.130 0.850 [4 per cell]
Au 0.119 0.676 0.225 [4 per cell]
Au 0.442 0.099 0.169 [4 per cell]

Calculated values
ΔH_f (0 K)	-0.344	eV per atom

5.
Crystalline Cu2H5Rh at its relaxed geometry. Source: Alexandria, functional GGA-PBE.

Cell: 3.094 4.940 5.120 Å, 80.76 82.32 71.82°
Space group P1 (No. 1)
Symmetry-distinct sites (fractional):
Cu 0.000 0.000 0.000 [1 per cell]
Cu 0.258 0.408 0.633 [1 per cell]
H 0.073 0.722 0.797 [1 per cell]
H 0.169 0.729 0.289 [1 per cell]
H 0.587 0.819 0.481 [1 per cell]
H 0.820 0.250 0.716 [1 per cell]
H 0.938 0.217 0.235 [1 per cell]
Rh 0.009 0.966 0.504 [1 per cell]

Calculated values
energy	-3.9668	eV/atom

6.
Crystalline Ce2DyHo at its relaxed geometry. Source: Alexandria, functional GGA-PBE.

Cell: 4.909 4.909 5.024 Å, 90.00 90.00 90.00°
Space group P4/mmm (No. 123)
Symmetry-distinct sites (fractional):
Ce 0.000 0.500 0.000 [2 per cell]
Dy 0.000 0.000 0.500 [1 per cell]
Ho 0.500 0.500 0.500 [1 per cell]

Calculated values
ΔH_f (0 K)	0.105	eV per atom

7.
Crystalline LaHoBi at its relaxed geometry. Source: Alexandria, functional GGA-PBE.

Cell: 4.135 4.135 11.215 Å, 90.00 90.00 90.00°
Space group I4mm (No. 107)
Symmetry-distinct sites (fractional):
La 0.000 0.000 0.000 [2 per cell]
Ho 0.000 0.000 0.696 [2 per cell]
Bi 0.000 0.000 0.329 [2 per cell]

Calculated values
ΔH_f (0 K)	-0.494	eV per atom

8.
Crystalline CaCrW2 at its relaxed geometry. Source: Alexandria, functional GGA-PBE.

Cell: 3.222 4.547 9.441 Å, 90.00 90.00 90.00°
Space group Cmm2 (No. 35)
Symmetry-distinct sites (fractional):
Ca 0.000 0.000 0.000 [2 per cell]
Cr 0.000 0.500 0.273 [2 per cell]
W 0.000 0.000 0.478 [2 per cell]
W 0.000 0.500 0.712 [2 per cell]

Calculated values
ΔH_f (0 K)	0.649	eV per atom

| no. | M_tot (μB per formula unit) |
| --- | --- |
| 1 | 0.8 |
| 2 | 0.9 |
| 3 | 0.5 |
| 4 | 0.1 |
| 5 | 0.0 |
| 6 | 1.6 |
| 7 | 0.9 |
| 8 | 0.0 |